{"formula": "La2TlTe", "functional": "GGA-PBE", "state": "relaxed", "e_above_lowest_polymorph_ev_per_atom": 0.000, "e_form_raw_ev_per_atom": -1.005, "magnetic_moment_mub_per_cell": 0.000, "dft_energy_ev_per_atom": -4.85, "sg": "Cmcm", "lattice_angstrom": [[-3.514, -2.520, -1.495], [1.657, -3.709, 2.357], [-7.560, 5.258, 8.907]], "species": ["La", "La", "La", "La", "Tl", "Tl", "Te", "Te"], "frac_coords": [[0.750, 0.681, 0.362], [0.250, 0.319, 0.638], [0.750, 0.936, 0.871], [0.250, 0.064, 0.129], [0.250, 0.455, 0.911], [0.750, 0.545, 0.089], [0.250, 0.191, 0.382], [0.750, 0.809, 0.618]]}